The following is a GGA-PBE calculation of a geometry-optimized TaSbPdO6 structure, from Alexandria.

Output
formation energy (no corrections) = -13.88 eV per formula unit
M_tot = 0.223 μB per atom
DOS at the Fermi energy = 0.02 states/eV per cell
crystal system = trigonal
final energy = -7.200 eV per atom

Lattice parameters (Å, degrees): 5.3337 5.3337 9.3235 90.00 90.00 120.00
Last column: nearest neighbours and their distance in Å.
Space group P-31c (No. 163)
One atom of each set of equivalent atoms:
Ta1 0.3333 0.6667 0.2500 [2 per cell]  6 O 2.01
Sb1 0.3333 0.6667 0.7500 [2 per cell]  6 O 2.02
Pd1 0.0000 0.0000 0.0000 [2 per cell]  6 O 2.31
O1 0.0008 0.3628 0.1350 [12 per cell]  1 Ta 2.01, 1 Sb 2.02